Material: SrCrGeO4
Method: DFT, PBE with a Hubbard U
State: relaxed

The value obtained for the magnetic moment is 4.00 μB per formula unit. As for the theoretical density: 4.5 Mg/m³. The space group is P2_1/m. For the final energy, the calculation gives -6.772 eV per atom.

Geometry as CIF:
```
data_SrCrGeO4
_chemical_formula_sum 'Sr2 Cr2 Ge2 O8'
_space_group_name_H-M_alt 'P 1'
_space_group_IT_number 1
_cell_length_a 5.600
_cell_length_b 5.751
_cell_length_c 6.653
_cell_angle_alpha 90.00
_cell_angle_beta 106.65
_cell_angle_gamma 90.00
loop_
_space_group_symop_operation_xyz
'x,y,z'
loop_
_atom_site_label
_atom_site_type_symbol
_atom_site_fract_x
_atom_site_fract_y
_atom_site_fract_z
Ge1 Ge 0.738 0.250 0.666
Ge2 Ge 0.262 0.750 0.334
O1 O 0.486 0.750 0.581
O2 O 0.468 0.750 0.171
O3 O 0.043 0.984 0.279
O4 O 0.532 0.250 0.829
O5 O 0.957 0.016 0.721
O6 O 0.514 0.250 0.419
O7 O 0.043 0.516 0.279
O8 O 0.957 0.484 0.721
Sr1 Sr 0.735 0.750 0.940
Sr2 Sr 0.265 0.250 0.060
Cr1 Cr 0.216 0.250 0.546
Cr2 Cr 0.784 0.750 0.454
```